Material: Tb5Pm5Er2
Method: DFT, GGA-PBE
State: optimized geometry

The symmetry is C2/m. The electronic total energy comes out at -4.653 eV per atom.

a = 5.0653 Å, b = 8.0265 Å, c = 10.7728 Å
α = 72.72°, β = 76.40°, γ = 71.61°
With the nearest neighbours (Å) after each atom.
Atoms (fractional coordinates):
1 Pm 0.5000 0.5000 0.5000  6 Tb 3.57-3.59, 4 Er 3.58, 2 Pm 3.59
2 Pm 0.6663 0.6670 0.0004  5 Tb 3.58-3.60, 4 Pm 3.59-3.60, 3 Er 3.59
3 Pm 0.3337 0.3330 0.9996  5 Tb 3.58-3.60, 4 Pm 3.59-3.60, 3 Er 3.59
4 Pm 0.5834 0.0837 0.7496  7 Tb 3.58-3.59, 3 Pm 3.59-3.60, 2 Er 3.59
5 Pm 0.4166 0.9163 0.2504  7 Tb 3.58-3.59, 3 Pm 3.59-3.60, 2 Er 3.59
6 Tb 0.7486 0.2508 0.2519  6 Pm 3.57-3.60, 4 Tb 3.57-3.61, 2 Er 3.57
7 Tb 0.0000 0.0000 0.0000  8 Pm 3.58-3.59, 2 Er 3.60, 2 Tb 3.61
8 Tb 0.2514 0.7492 0.7481  6 Pm 3.57-3.60, 4 Tb 3.57-3.61, 2 Er 3.57
9 Tb 0.8330 0.8335 0.5005  5 Tb 3.57-3.59, 5 Pm 3.58-3.59, 2 Er 3.58-3.60
10 Tb 0.1670 0.1665 0.4995  5 Tb 3.57-3.59, 5 Pm 3.58-3.59, 2 Er 3.58-3.60
11 Er 0.0835 0.5823 0.2506  5 Tb 3.57-3.60, 7 Pm 3.58-3.59
12 Er 0.9165 0.4177 0.7494  5 Tb 3.57-3.60, 7 Pm 3.58-3.59

Material: Tb2PmEr5
Method: DFT, GGA-PBE
State: optimized geometry

The symmetry is Pbam. For the energy above the most stable polymorph in this dataset, the calculation gives 0.0 meV per atom. The electronic total energy comes out at -4.586 eV per atom.

a = 4.9921 Å, b = 7.0766 Å, c = 14.1591 Å
α = 90.00°, β = 90.00°, γ = 90.00°
With the nearest neighbours (Å) after each atom.
Atoms (fractional coordinates):
1 Er 0.0000 0.5000 0.5000  6 Er 3.53-3.54, 4 Tb 3.54, 2 Pm 3.54
2 Er 0.0000 0.9998 0.2491  4 Tb 3.52-3.54, 7 Er 3.52-3.54, 1 Pm 3.55
3 Er 0.5000 0.7502 0.1257  4 Tb 3.52-3.56, 6 Er 3.52-3.54, 2 Pm 3.54
4 Er 0.0000 0.5002 0.7491  4 Tb 3.52-3.54, 7 Er 3.52-3.54, 1 Pm 3.55
5 Er 0.5000 0.2498 0.8743  4 Tb 3.52-3.56, 6 Er 3.52-3.54, 2 Pm 3.54
6 Er 0.0000 0.0000 0.0000  6 Er 3.53-3.54, 4 Tb 3.54, 2 Pm 3.54
7 Er 0.5000 0.2502 0.3743  4 Tb 3.52-3.56, 6 Er 3.52-3.54, 2 Pm 3.54
8 Er 0.0000 0.4998 0.2509  4 Tb 3.52-3.54, 7 Er 3.52-3.54, 1 Pm 3.55
9 Er 0.5000 0.7498 0.6257  4 Tb 3.52-3.56, 6 Er 3.52-3.54, 2 Pm 3.54
10 Er 0.0000 0.0002 0.7509  4 Tb 3.52-3.54, 7 Er 3.52-3.54, 1 Pm 3.55
11 Tb 0.5000 0.7492 0.3743  10 Er 3.52-3.56, 2 Pm 3.54
12 Tb 0.5000 0.2492 0.1257  10 Er 3.52-3.56, 2 Pm 3.54
13 Tb 0.5000 0.2508 0.6257  10 Er 3.52-3.56, 2 Pm 3.54
14 Tb 0.5000 0.7508 0.8743  10 Er 3.52-3.56, 2 Pm 3.54
15 Pm 0.0000 0.0000 0.5000  8 Er 3.54-3.55, 4 Tb 3.54
16 Pm 0.0000 0.5000 0.0000  8 Er 3.54-3.55, 4 Tb 3.54

Material: Tb3Pm2Er5
Method: DFT, GGA-PBE
State: optimized geometry

The symmetry is C2/c. For the energy above the most stable polymorph in this dataset, the calculation gives 0.0 meV per atom. The electronic total energy comes out at -4.427 eV per atom.

a = 9.4037 Å, b = 9.3733 Å, c = 11.0917 Å
α = 125.27°, β = 125.33°, γ = 68.58°
With the nearest neighbours (Å) after each atom.
Atoms (fractional coordinates):
1 Tb 0.0359 0.7703 0.2574  1 Pm 3.13, 6 Er 3.29-3.47
2 Tb 0.2271 0.9771 0.9541  1 Er 3.17, 4 Pm 3.28-3.53
3 Tb 0.7729 0.0229 0.0459  1 Er 3.17, 4 Pm 3.28-3.53
4 Tb 0.9641 0.2297 0.7426  1 Pm 3.13, 6 Er 3.29-3.47
5 Tb 0.7215 0.4871 0.2574  1 Pm 3.13, 6 Er 3.29-3.47
6 Tb 0.2785 0.5129 0.7426  1 Pm 3.13, 6 Er 3.29-3.47
7 Er 0.7312 0.4812 0.9625  4 Tb 3.29-3.47, 3 Er 3.31-3.55, 2 Pm 3.44
8 Er 0.0274 0.7774 0.5548  5 Tb 3.17-3.47, 2 Er 3.50, 2 Pm 3.51
9 Er 0.2688 0.5188 0.0375  4 Tb 3.29-3.47, 3 Er 3.31-3.55, 2 Pm 3.44
10 Er 0.5223 0.2723 0.5445  4 Pm 3.29-3.43, 3 Er 3.31-3.49, 2 Tb 3.39
11 Er 0.4777 0.7277 0.4555  4 Pm 3.29-3.43, 3 Er 3.31-3.49, 2 Tb 3.39
12 Er 0.3515 0.1064 0.7372  3 Tb 3.42-3.63, 2 Pm 3.44-3.64, 3 Er 3.49-3.55
13 Er 0.1143 0.3692 0.2628  3 Tb 3.42-3.63, 2 Pm 3.44-3.64, 3 Er 3.49-3.55
14 Er 0.8857 0.6308 0.7372  3 Tb 3.42-3.63, 2 Pm 3.44-3.64, 3 Er 3.49-3.55
15 Er 0.6485 0.8936 0.2628  3 Tb 3.42-3.63, 2 Pm 3.44-3.64, 3 Er 3.49-3.55
16 Er 0.9726 0.2226 0.4452  5 Tb 3.17-3.47, 2 Er 3.50, 2 Pm 3.51
17 Pm 0.5160 0.2797 0.2482  2 Tb 3.13-3.28, 4 Er 3.29-3.44
18 Pm 0.4840 0.7203 0.7518  2 Tb 3.13-3.28, 4 Er 3.29-3.44
19 Pm 0.2322 0.9684 0.2482  2 Tb 3.13-3.28, 4 Er 3.29-3.44
20 Pm 0.7678 0.0316 0.7518  2 Tb 3.13-3.28, 4 Er 3.29-3.44

Material: TbPmEr2
Method: DFT, GGA-PBE
State: optimized geometry

The symmetry is Fm-3m. For the energy above the most stable polymorph in this dataset, the calculation gives 107.9 meV per atom. The electronic total energy comes out at -4.503 eV per atom.

a = 5.6688 Å, b = 5.6688 Å, c = 5.6688 Å
α = 60.00°, β = 60.00°, γ = 60.00°
With the nearest neighbours (Å) after each atom.
Atoms (fractional coordinates):
1 Er 0.7500 0.7500 0.7500  4 Pm 3.47, 4 Tb 3.47
2 Er 0.2500 0.2500 0.2500  4 Tb 3.47, 4 Pm 3.47
3 Pm 0.5000 0.5000 0.5000  8 Er 3.47
4 Tb 0.0000 0.0000 0.0000  8 Er 3.47

Material: Tb4Pm3Er2
Method: DFT, GGA-PBE
State: optimized geometry

The symmetry is P-1. For the energy above the most stable polymorph in this dataset, the calculation gives 0.0 meV per atom. The electronic total energy comes out at -4.640 eV per atom.

a = 6.1887 Å, b = 6.1973 Å, c = 12.8898 Å
α = 118.68°, β = 103.97°, γ = 119.90°
With the nearest neighbours (Å) after each atom.
Atoms (fractional coordinates):
1 Er 0.2211 0.4432 0.6660  5 Pm 3.56-3.58, 6 Tb 3.57-3.58, 1 Er 3.57
2 Er 0.7789 0.5568 0.3340  5 Pm 3.56-3.58, 6 Tb 3.57-3.58, 1 Er 3.57
3 Tb 0.8895 0.7793 0.6666  4 Er 3.57-3.58, 5 Pm 3.57-3.59, 3 Tb 3.57-3.58
4 Tb 0.3347 0.6681 0.0001  5 Tb 3.57-3.59, 5 Pm 3.57-3.59, 2 Er 3.58
5 Tb 0.6653 0.3319 0.9999  5 Tb 3.57-3.59, 5 Pm 3.57-3.59, 2 Er 3.58
6 Tb 0.1105 0.2207 0.3334  4 Er 3.57-3.58, 5 Pm 3.57-3.59, 3 Tb 3.57-3.58
7 Pm 0.5541 0.1101 0.6660  4 Er 3.56-3.58, 2 Pm 3.57-3.59, 6 Tb 3.57-3.59
8 Pm 0.0000 0.0000 0.0000  8 Tb 3.57-3.59, 2 Er 3.58, 2 Pm 3.59
9 Pm 0.4459 0.8899 0.3340  4 Er 3.56-3.58, 2 Pm 3.57-3.59, 6 Tb 3.57-3.59

Material: TbPm4Er7
Method: DFT, GGA-PBE
State: optimized geometry

The symmetry is P-1. For the energy above the most stable polymorph in this dataset, the calculation gives 0.0 meV per atom. The electronic total energy comes out at -4.544 eV per atom.

a = 6.8047 Å, b = 6.5335 Å, c = 11.7898 Å
α = 75.12°, β = 49.75°, γ = 81.49°
With the nearest neighbours (Å) after each atom.
Atoms (fractional coordinates):
1 Er 0.7225 0.1870 0.3838  5 Er 3.27-3.62, 4 Pm 3.31-3.55
2 Er 0.5000 0.0000 0.0000  4 Pm 3.39-3.67, 2 Tb 3.40, 4 Er 3.49-3.70
3 Er 0.0571 0.3189 0.6423  5 Er 3.37-3.70, 4 Pm 3.45-3.52
4 Er 0.8016 0.5125 0.9504  5 Er 3.36-3.54, 4 Pm 3.38-3.66, 1 Tb 3.47
5 Er 0.2775 0.8130 0.6162  5 Er 3.27-3.62, 4 Pm 3.31-3.55
6 Er 0.9429 0.6811 0.3577  5 Er 3.37-3.70, 4 Pm 3.45-3.52
7 Er 0.1984 0.4875 0.0496  5 Er 3.36-3.54, 4 Pm 3.38-3.66, 1 Tb 3.47
8 Pm 0.6912 0.8354 0.6929  7 Er 3.39-3.67, 2 Pm 3.50-3.54
9 Pm 0.5245 0.6387 0.2853  8 Er 3.31-3.67, 1 Tb 3.39, 2 Pm 3.50-3.54
10 Pm 0.4755 0.3613 0.7147  8 Er 3.31-3.67, 1 Tb 3.39, 2 Pm 3.50-3.54
11 Pm 0.3088 0.1646 0.3071  7 Er 3.39-3.67, 2 Pm 3.50-3.54
12 Tb 0.0000 0.0000 0.0000  2 Pm 3.39, 4 Er 3.40-3.47

Material: Tb12PmEr6
Method: DFT, GGA-PBE
State: optimized geometry

The symmetry is Im-3. For the energy above the most stable polymorph in this dataset, the calculation gives 30.9 meV per atom. The electronic total energy comes out at -4.376 eV per atom.

a = 9.2541 Å, b = 9.2541 Å, c = 9.2541 Å
α = 109.47°, β = 109.47°, γ = 109.47°
With the nearest neighbours (Å) after each atom.
Atoms (fractional coordinates):
1 Tb 0.7377 0.9336 0.1959  1 Er 3.07
2 Tb 0.0664 0.8041 0.2623  1 Er 3.07
3 Tb 0.7377 0.5418 0.8041  1 Er 3.07
4 Tb 0.9336 0.1959 0.7377  1 Er 3.07
5 Tb 0.2623 0.0664 0.8041  1 Er 3.07
6 Tb 0.8041 0.2623 0.0664  1 Er 3.07
7 Tb 0.1959 0.2623 0.4582  1 Er 3.07
8 Tb 0.4582 0.1959 0.2623  1 Er 3.07
9 Tb 0.2623 0.4582 0.1959  1 Er 3.07
10 Tb 0.8041 0.7377 0.5418  1 Er 3.07
11 Tb 0.1959 0.7377 0.9336  1 Er 3.07
12 Tb 0.5418 0.8041 0.7377  1 Er 3.07
13 Er 0.8577 0.3577 0.5000  1 Er 3.04, 2 Tb 3.07
14 Er 0.5000 0.1423 0.6423  1 Er 3.04, 2 Tb 3.07
15 Er 0.1423 0.6423 0.5000  1 Er 3.04, 2 Tb 3.07
16 Er 0.6423 0.5000 0.1423  1 Er 3.04, 2 Tb 3.07
17 Er 0.5000 0.8577 0.3577  1 Er 3.04, 2 Tb 3.07
18 Er 0.3577 0.5000 0.8577  1 Er 3.04, 2 Tb 3.07
19 Pm 0.0000 0.0000 0.0000  12 Tb 3.50

Material: Tb3Pm4Er5
Method: DFT, GGA-PBE
State: optimized geometry

The symmetry is P-1. For the energy above the most stable polymorph in this dataset, the calculation gives 0.0 meV per atom. The electronic total energy comes out at -4.625 eV per atom.

a = 7.1324 Å, b = 11.2838 Å, c = 12.8586 Å
α = 151.28°, β = 56.27°, γ = 129.33°
With the nearest neighbours (Å) after each atom.
Atoms (fractional coordinates):
1 Er 0.5000 0.0000 0.5000  4 Pm 3.54-3.56, 4 Tb 3.56-3.57, 4 Er 3.57-3.58
2 Er 0.6686 0.3353 0.1661  3 Er 3.54-3.60, 4 Tb 3.55-3.59, 5 Pm 3.56-3.58
3 Er 0.3314 0.6647 0.8339  3 Er 3.54-3.60, 4 Tb 3.55-3.59, 5 Pm 3.56-3.58
4 Er 0.7516 0.4991 0.9992  6 Er 3.54-3.59, 3 Tb 3.54-3.56, 3 Pm 3.55-3.56
5 Er 0.2484 0.5009 0.0008  6 Er 3.54-3.59, 3 Tb 3.54-3.56, 3 Pm 3.55-3.56
6 Tb 0.5802 0.1635 0.3320  5 Er 3.54-3.59, 6 Pm 3.55-3.60, 1 Tb 3.55
7 Tb 0.0000 0.0000 0.5000  2 Tb 3.55, 8 Er 3.55-3.57, 2 Pm 3.55
8 Tb 0.4198 0.8365 0.6680  5 Er 3.54-3.59, 6 Pm 3.55-3.60, 1 Tb 3.55
9 Pm 0.1686 0.3374 0.1683  5 Er 3.54-3.57, 4 Pm 3.57-3.61, 3 Tb 3.57-3.59
10 Pm 0.9168 0.8355 0.6671  4 Tb 3.55-3.60, 5 Er 3.55-3.58, 3 Pm 3.57-3.60
11 Pm 0.0832 0.1645 0.3329  4 Tb 3.55-3.60, 5 Er 3.55-3.58, 3 Pm 3.57-3.60
12 Pm 0.8314 0.6626 0.8317  5 Er 3.54-3.57, 4 Pm 3.57-3.61, 3 Tb 3.57-3.59

Material: TbPmEr2
Method: DFT, GGA-PBE
State: optimized geometry

The symmetry is Imm2. For the energy above the most stable polymorph in this dataset, the calculation gives 3.2 meV per atom. The electronic total energy comes out at -4.608 eV per atom.

a = 3.6340 Å, b = 6.7244 Å, c = 6.7244 Å
α = 55.58°, β = 74.34°, γ = 74.34°
With the nearest neighbours (Å) after each atom.
Atoms (fractional coordinates):
1 Er 0.0008 0.0822 0.9155  3 Pm 3.51-3.53, 3 Tb 3.51-3.53, 6 Er 3.62-3.63
2 Er 0.4992 0.5845 0.4178  3 Pm 3.51-3.53, 3 Tb 3.51-3.53, 6 Er 3.62-3.63
3 Tb 0.7500 0.6655 0.8345  6 Er 3.51-3.53, 4 Pm 3.61-3.64, 2 Tb 3.63
4 Pm 0.2500 0.1679 0.3321  6 Er 3.51-3.53, 4 Tb 3.61-3.64, 2 Pm 3.63

Material: Tb3Pm5Er
Method: DFT, GGA-PBE
State: optimized geometry

The symmetry is C2/c. For the energy above the most stable polymorph in this dataset, the calculation gives 0.0 meV per atom. The electronic total energy comes out at -4.522 eV per atom.

a = 12.1429 Å, b = 12.1429 Å, c = 11.6032 Å
α = 43.95°, β = 43.95°, γ = 32.31°
With the nearest neighbours (Å) after each atom.
Atoms (fractional coordinates):
1 Tb 0.1623 0.3603 0.6060  7 Pm 3.34-3.66, 1 Tb 3.53
2 Tb 0.0000 0.0000 0.0000  2 Er 3.31, 2 Pm 3.59
3 Tb 0.8377 0.6397 0.3940  7 Pm 3.34-3.66, 1 Tb 3.53
4 Tb 0.0000 0.0000 0.5000  2 Er 3.31, 2 Pm 3.59
5 Tb 0.3603 0.1623 0.1060  7 Pm 3.34-3.66, 1 Tb 3.53
6 Tb 0.6397 0.8377 0.8940  7 Pm 3.34-3.66, 1 Tb 3.53
7 Pm 0.3906 0.3901 0.1693  4 Pm 3.39-3.63, 5 Tb 3.51-3.78, 1 Er 3.77
8 Pm 0.6094 0.6099 0.8307  4 Pm 3.39-3.63, 5 Tb 3.51-3.78, 1 Er 3.77
9 Pm 0.2632 0.0810 0.5027  1 Pm 3.06, 2 Tb 3.34
10 Pm 0.7368 0.9190 0.4973  1 Pm 3.06, 2 Tb 3.34
11 Pm 0.6868 0.3132 0.2500  1 Er 3.04, 2 Pm 3.06
12 Pm 0.9190 0.7368 0.9973  1 Pm 3.06, 2 Tb 3.34
13 Pm 0.3901 0.3906 0.6693  4 Pm 3.39-3.63, 5 Tb 3.51-3.78, 1 Er 3.77
14 Pm 0.3132 0.6868 0.7500  1 Er 3.04, 2 Pm 3.06
15 Pm 0.0810 0.2632 0.0027  1 Pm 3.06, 2 Tb 3.34
16 Pm 0.6099 0.6094 0.3307  4 Pm 3.39-3.63, 5 Tb 3.51-3.78, 1 Er 3.77
17 Er 0.2368 0.7632 0.2500  1 Pm 3.04, 2 Tb 3.31
18 Er 0.7632 0.2368 0.7500  1 Pm 3.04, 2 Tb 3.31

Material: Tb6Pm8Er
Method: DFT, GGA-PBE
State: optimized geometry

The symmetry is P-3. For the energy above the most stable polymorph in this dataset, the calculation gives 51.8 meV per atom. The electronic total energy comes out at -4.518 eV per atom.

a = 6.5832 Å, b = 9.4229 Å, c = 9.4229 Å
α = 120.00°, β = 90.00°, γ = 90.00°
With the nearest neighbours (Å) after each atom.
Atoms (fractional coordinates):
1 Pm 0.1654 0.2843 0.2510  4 Tb 3.30-3.57, 3 Pm 3.30-3.34, 1 Er 3.36
2 Pm 0.1654 0.7490 0.0334  4 Tb 3.30-3.57, 3 Pm 3.30-3.34, 1 Er 3.36
3 Pm 0.8817 0.3333 0.6667  3 Pm 3.30
4 Pm 0.1654 0.9666 0.7157  4 Tb 3.30-3.57, 3 Pm 3.30-3.34, 1 Er 3.36
5 Pm 0.8346 0.2510 0.9666  4 Tb 3.30-3.57, 3 Pm 3.30-3.34, 1 Er 3.36
6 Pm 0.8346 0.7157 0.7490  4 Tb 3.30-3.57, 3 Pm 3.30-3.34, 1 Er 3.36
7 Pm 0.1183 0.6667 0.3333  3 Pm 3.30
8 Pm 0.8346 0.0334 0.2843  4 Tb 3.30-3.57, 3 Pm 3.30-3.34, 1 Er 3.36
9 Tb 0.3417 0.0907 0.4354  1 Tb 3.29, 4 Pm 3.30-3.57
10 Tb 0.3417 0.3447 0.9093  1 Tb 3.29, 4 Pm 3.30-3.57
11 Tb 0.6583 0.6553 0.0907  1 Tb 3.29, 4 Pm 3.30-3.57
12 Tb 0.6583 0.4354 0.3447  1 Tb 3.29, 4 Pm 3.30-3.57
13 Tb 0.6583 0.9093 0.5646  1 Tb 3.29, 4 Pm 3.30-3.57
14 Tb 0.3417 0.5646 0.6553  1 Tb 3.29, 4 Pm 3.30-3.57
15 Er 0.5000 0.0000 0.0000  6 Pm 3.36

Material: Tb5Pm3Er3
Method: DFT, GGA-PBE
State: optimized geometry

The symmetry is P-62m. The electronic total energy comes out at -3.834 eV per atom.

a = 5.3746 Å, b = 9.6826 Å, c = 9.6826 Å
α = 120.00°, β = 90.00°, γ = 90.00°
With the nearest neighbours (Å) after each atom.
Atoms (fractional coordinates):
1 Tb 0.5000 0.6667 0.3333  3 Pm 3.08
2 Tb 0.5000 0.0000 0.7389  2 Pm 3.16, 2 Er 3.25
3 Tb 0.5000 0.3333 0.6667  3 Pm 3.08
4 Tb 0.5000 0.2611 0.2611  2 Pm 3.16, 2 Er 3.25
5 Tb 0.5000 0.7389 0.0000  2 Pm 3.16, 2 Er 3.25
6 Pm 0.5000 0.3657 0.0000  4 Tb 3.08-3.16, 2 Er 3.23
7 Pm 0.5000 0.0000 0.3657  4 Tb 3.08-3.16, 2 Er 3.23
8 Pm 0.5000 0.6343 0.6343  4 Tb 3.08-3.16, 2 Er 3.23
9 Er 0.0000 0.5508 0.0000  2 Pm 3.23, 2 Tb 3.25
10 Er 0.0000 0.4492 0.4492  2 Pm 3.23, 2 Tb 3.25
11 Er 0.0000 0.0000 0.5508  2 Pm 3.23, 2 Tb 3.25

Number 1: energy of formation from the pure elements 0.02 eV per atom. Number 2: energy of formation from the pure elements 0.02 eV per atom. Number 3: energy of formation from the pure elements 0.19 eV per atom. Number 4: energy of formation from the pure elements 0.12 eV per atom. Number 5: energy of formation from the pure elements 0.02 eV per atom. Number 6: energy of formation from the pure elements 0.09 eV per atom. Number 7: energy of formation from the pure elements 0.24 eV per atom. Number 8: energy of formation from the pure elements 0.02 eV per atom. Number 9: energy of formation from the pure elements 0.02 eV per atom. Number 10: energy of formation from the pure elements 0.17 eV per atom. Number 11: energy of formation from the pure elements 0.17 eV per atom. Number 12: energy of formation from the pure elements 0.81 eV per atom.